Entry 1:
Computed, not measured: crystalline Pm2Al2Sn at its relaxed geometry at the GGA-PBE level of DFT.

Results
Fermi-level density of states = 0.933 states/eV/atom
VASP energy = -44.78 eV for the cell shown

Geometry as CIF:
```
data_Pm2Al2Sn
_cell_length_a 3.7631
_cell_length_b 3.7631
_cell_length_c 18.8900
_cell_angle_alpha 90.00
_cell_angle_beta 90.00
_cell_angle_gamma 90.00
_space_group_name_H-M_alt 'I 4/m m m'
_space_group_IT_number 139
_space_group_name_Hall '-I 4 2'
loop_
_atom_site_label
_atom_site_type_symbol
_atom_site_fract_x
_atom_site_fract_y
_atom_site_fract_z
_atom_site_occupancy
Pm1 Pm 0.0000 0.0000 0.1075 1
Al1 Al 0.0000 0.5000 0.2500 1
Sn1 Sn 0.0000 0.0000 0.5000 1
```


Entry 2:
Computed, not measured: crystalline CsK2O at its relaxed geometry at the GGA-PBE level of DFT.

Results
Energy relative to the elements, uncorrected = -0.6124 eV/atom
Fermi-level density of states = 1.219 states/eV/atom
VASP energy = -31.37 eV for the cell shown

Geometry as CIF:
```
data_CsK2O
_cell_length_a 4.3943
_cell_length_b 4.3943
_cell_length_c 35.1346
_cell_angle_alpha 90.00
_cell_angle_beta 90.00
_cell_angle_gamma 120.00
_space_group_name_H-M_alt 'R -3 m'
_space_group_IT_number 166
_space_group_name_Hall '-R 3 2"'
loop_
_atom_site_label
_atom_site_type_symbol
_atom_site_fract_x
_atom_site_fract_y
_atom_site_fract_z
_atom_site_occupancy
Cs1 Cs 0.0000 0.0000 0.0000 1
K1 K 0.0000 0.0000 0.1362 1
O1 O 0.0000 0.0000 0.5000 1
```


Entry 3:
Computed, not measured: crystalline CoSb2As at its relaxed geometry at the GGA-PBE level of DFT.

Results
Energy relative to the elements, uncorrected = 0.4660 eV/atom
Fermi-level density of states = 0.829 states/eV/atom
VASP energy = -36.27 eV for the cell shown

Geometry as CIF:
```
data_CoSb2As
_cell_length_a 6.1855
_cell_length_b 7.7512
_cell_length_c 3.6426
_cell_angle_alpha 90.00
_cell_angle_beta 107.17
_cell_angle_gamma 90.00
_space_group_name_H-M_alt 'C 1 2/m 1'
_space_group_IT_number 12
loop_
_space_group_symop_operation_xyz
'x,y,z'
'-x,-y,-z'
'-x,y,-z'
'x,-y,z'
'x+1/2,y+1/2,z'
'-x+1/2,-y+1/2,-z'
'-x+1/2,y+1/2,-z'
'x+1/2,-y+1/2,z'
loop_
_atom_site_label
_atom_site_type_symbol
_atom_site_fract_x
_atom_site_fract_y
_atom_site_fract_z
_atom_site_occupancy
Co1 Co 0.0000 0.0000 0.0000 1
Sb1 Sb 0.2500 0.2500 0.5000 1
As1 As 0.0000 0.5000 0.0000 1
```


The highest VASP energy belongs to which entry?
CsK2O


Which of these has the highest VASP energy?
CsK2O


Which formula does entry 2 have?
CsK2O